Record 1
Compound: KSr2ScBr8
Source: Alexandria
Functional: PBE
Structure: optimized geometry

The calculated volume is 445.7 Å³ per cell. The calculation puts the size of the total moment at 0.00 μB per cell. The value obtained for the formation energy (no corrections) is -22.6 eV per formula unit.

Cell: 7.057 6.776 9.320 Å, 90.00 90.00 89.82°
Sites, in units of the cell vectors:
K: 0.000 0.000 0.500
Sr: 0.500 0.500 0.755
Sr: 0.500 0.500 0.245
Sc: 0.000 0.000 0.000
Br: 0.155 0.780 0.204
Br: 0.688 0.755 0.000
Br: 0.845 0.220 0.204
Br: 0.845 0.220 0.796
Br: 0.312 0.245 0.000
Br: 0.155 0.780 0.796
Br: 0.630 0.738 0.500
Br: 0.370 0.262 0.500



Record 2
Compound: KScTeBr2
Source: Alexandria
Functional: PBE
Structure: optimized geometry

The calculated volume is 166.7 Å³ per cell. The calculation puts the size of the total moment at 0.00 μB per cell. The value obtained for the formation energy (no corrections) is -7.1 eV per formula unit.

Cell: 5.424 5.424 5.667 Å, 90.00 90.00 90.00°
Sites, in units of the cell vectors:
Sc: 0.000 0.000 0.000
K: 0.500 0.500 0.500
Te: 0.000 0.000 0.500
Br: 0.000 0.500 0.000
Br: 0.500 0.000 0.000



Record 3
Compound: KScTiBr2
Source: Alexandria
Functional: PBE
Structure: optimized geometry

The calculated volume is 194.1 Å³ per cell. The calculation puts the size of the total moment at 4.11 μB per cell. The value obtained for the formation energy (no corrections) is 3.1 eV per formula unit.

Cell: 5.619 6.150 5.619 Å, 90.00 90.00 90.00°
Site moments in Bohr magnetons follow the coordinates.
Sites, in units of the cell vectors:
Sc: 0.500 0.500 0.500  0.82
K: 0.000 0.000 0.000  0.03
Br: 0.000 0.000 0.500  0.00
Br: 0.500 0.000 0.000  0.00
Ti: 0.000 0.500 0.000  2.08



Record 4
Compound: K2ScTlBr6
Source: Alexandria
Functional: PBE
Structure: optimized geometry

The calculated volume is 377.9 Å³ per cell. The calculation puts the size of the total moment at 0.00 μB per cell. The value obtained for the formation energy (no corrections) is -15.6 eV per formula unit.

Cell: 8.000 8.000 8.237 Å, 60.94 60.92 59.98°
Sites, in units of the cell vectors:
K: 0.534 0.534 0.399
K: 0.023 0.023 0.933
Sc: 0.324 0.324 0.028
Tl: 0.814 0.814 0.557
Br: 0.549 0.208 0.244
Br: 0.208 0.999 0.244
Br: 0.998 0.550 0.244
Br: 0.433 0.656 0.789
Br: 0.657 0.121 0.789
Br: 0.121 0.433 0.789



Record 5
Compound: K2ScVBr
Source: Alexandria
Functional: PBE
Structure: optimized geometry

The calculated volume is 232.4 Å³ per cell. The calculation puts the size of the total moment at 2.45 μB per cell. The value obtained for the formation energy (no corrections) is 3.6 eV per formula unit.

Cell: 6.964 4.792 6.964 Å, 90.00 90.00 90.00°
Site moments in Bohr magnetons follow the coordinates.
Sites, in units of the cell vectors:
Sc: 0.500 0.500 0.500  -0.91
K: 0.000 0.000 0.500  0.01
K: 0.500 0.000 0.000  0.01
Br: 0.000 0.500 0.000  -0.05
V: 0.000 0.000 0.000  3.05



Record 6
Compound: KScZnBr6
Source: Alexandria
Functional: PBE
Structure: optimized geometry

The calculated volume is 607.1 Å³ per cell. The calculation puts the size of the total moment at 0.00 μB per cell. The value obtained for the formation energy (no corrections) is -12.7 eV per formula unit.

Cell: 6.910 6.910 14.684 Å, 90.00 90.00 120.00°
Sites, in units of the cell vectors:
K: 0.000 0.000 0.000
K: 0.000 0.000 0.500
Sc: 0.333 0.667 0.250
Sc: 0.667 0.333 0.750
Zn: 0.667 0.333 0.250
Zn: 0.333 0.667 0.750
Br: 0.628 0.626 0.146
Br: 0.998 0.372 0.146
Br: 0.372 0.998 0.646
Br: 0.002 0.628 0.854
Br: 0.374 0.372 0.354
Br: 0.998 0.626 0.354
Br: 0.626 0.998 0.854
Br: 0.628 0.002 0.354
Br: 0.002 0.374 0.646
Br: 0.374 0.002 0.146
Br: 0.626 0.628 0.646
Br: 0.372 0.374 0.854



Record 7
Compound: KSe2Br6
Source: Alexandria
Functional: PBE
Structure: optimized geometry

The calculated volume is 734.9 Å³ per cell. The calculation puts the size of the total moment at 0.00 μB per cell. The value obtained for the formation energy (no corrections) is -3.7 eV per formula unit.

Cell: 9.229 10.273 10.273 Å, 55.46 69.19 69.19°
Sites, in units of the cell vectors:
K: 0.250 0.087 0.913
K: 0.750 0.913 0.087
Se: 0.230 0.597 0.901
Se: 0.270 0.099 0.403
Se: 0.770 0.403 0.099
Se: 0.730 0.901 0.597
Br: 0.497 0.791 0.706
Br: 0.003 0.294 0.209
Br: 0.503 0.209 0.294
Br: 0.997 0.706 0.791
Br: 0.884 0.780 0.423
Br: 0.616 0.577 0.220
Br: 0.116 0.220 0.577
Br: 0.384 0.423 0.780
Br: 0.133 0.739 0.074
Br: 0.367 0.926 0.261
Br: 0.867 0.261 0.926
Br: 0.633 0.074 0.739



Record 8
Compound: KSeBr2
Source: Alexandria
Functional: PBE
Structure: optimized geometry

The calculated volume is 124.3 Å³ per cell. As for the energy above the lowest structure with this stoichiometry: 0.380 eV per atom. The calculation puts the size of the total moment at 3.00 μB per cell. The value obtained for the formation energy (no corrections) is -1.5 eV per formula unit.

Cell: 5.602 5.602 5.602 Å, 60.00 60.00 60.00°
Site moments in Bohr magnetons follow the coordinates.
Sites, in units of the cell vectors:
K: 0.000 0.000 0.000  0.01
Se: 0.500 0.500 0.500  1.33
Br: 0.250 0.250 0.250  0.34
Br: 0.750 0.750 0.750  0.34



Record 9
Compound: KSeBr2
Source: Alexandria
Functional: PBE
Structure: optimized geometry

The calculated volume is 316.5 Å³ per cell. As for the energy above the lowest structure with this stoichiometry: 0.210 eV per atom. The calculation puts the size of the total moment at 0.00 μB per cell. The value obtained for the formation energy (no corrections) is -2.2 eV per formula unit.

Cell: 5.980 5.980 9.809 Å, 72.25 72.25 90.00°
Sites, in units of the cell vectors:
K: 0.500 0.500 0.000
K: 0.250 0.750 0.500
Se: 0.000 0.000 0.000
Se: 0.750 0.250 0.500
Br: 0.716 0.125 0.250
Br: 0.034 0.625 0.250
Br: 0.375 0.284 0.750
Br: 0.875 0.966 0.750



Record 10
Compound: KSeBr2
Source: Alexandria
Functional: PBE
Structure: optimized geometry

The calculated volume is 123.5 Å³ per cell. As for the energy above the lowest structure with this stoichiometry: 0.199 eV per atom. The calculation puts the size of the total moment at 0.00 μB per cell. The value obtained for the formation energy (no corrections) is -2.2 eV per formula unit.

Cell: 4.514 4.514 6.063 Å, 90.00 90.00 90.00°
Sites, in units of the cell vectors:
Br: 0.000 0.000 0.874
Br: 0.500 0.500 0.376
K: 0.000 0.000 0.374
Se: 0.500 0.500 0.875



Record 11
Compound: KSeBr2
Source: Alexandria
Functional: PBE
Structure: optimized geometry

The calculated volume is 240.7 Å³ per cell. As for the energy above the lowest structure with this stoichiometry: 0.297 eV per atom. The calculation puts the size of the total moment at 0.00 μB per cell. The value obtained for the formation energy (no corrections) is -1.8 eV per formula unit.

Cell: 7.062 7.062 7.847 Å, 90.00 90.00 142.03°
Sites, in units of the cell vectors:
Br: 0.000 0.000 0.963
Br: 0.000 0.000 0.537
K: 0.500 0.500 0.250
Se: 0.500 0.500 0.750



Record 12
Compound: KSe2Br8
Source: Alexandria
Functional: PBE
Structure: optimized geometry

The calculated volume is 432.3 Å³ per cell. The calculation puts the size of the total moment at 0.00 μB per cell. The value obtained for the formation energy (no corrections) is -3.7 eV per formula unit.

Cell: 8.860 7.600 7.600 Å, 71.68 68.30 68.30°
Sites, in units of the cell vectors:
K: 0.000 0.000 0.000
Se: 0.357 0.147 0.147
Se: 0.643 0.853 0.853
Br: 0.765 0.126 0.675
Br: 0.235 0.325 0.874
Br: 0.587 0.216 0.216
Br: 0.413 0.784 0.784
Br: 0.765 0.675 0.126
Br: 0.235 0.874 0.325
Br: 0.120 0.388 0.388
Br: 0.880 0.612 0.612